Entry from the Open Quantum Materials Database: an optimized crystal structure of PmMgNO (GGA-PBE).

The structure in extended XYZ format:
```
8
Lattice="3.620 0.000 0.000 0.000 6.092 0.000 0.000 0.000 5.791" Properties=species:S:1:pos:R:3 pbc="T T T"
Pm 0.000 1.183 0.000
Pm 0.000 4.908 2.895
Mg 1.810 2.048 2.891
Mg 1.810 4.044 5.787
N 1.810 2.185 4.918
N 1.810 3.907 2.023
O 0.000 1.071 2.346
O 0.000 5.021 5.242
```

The total energy is -6.750 eV per atom. For the total magnetization, the calculation gives 0.00 μB/f.u.